Entry 1:
DFT (PBE-GGA) results for CrCo2Cu after structural relaxation.

Output
Density ... 8.755 g/cm³
ΔE_f ... 211 meV per atom
Final energy ... -6.771 eV per atom
Magnetic moment ... 1.11 μB per cell

a = 3.971 Å, b = 3.971 Å, c = 3.971 Å
α = 60.00°, β = 60.00°, γ = 60.00°
Sites, in units of the cell vectors:
Cr: 0.000 0.000 0.000
Co: 0.250 0.250 0.250
Co: 0.750 0.750 0.750
Cu: 0.500 0.500 0.500

***

Entry 2:
DFT (PBE-GGA) results for Cr4CoCu after structural relaxation.

Output
Density ... 7.668 g/cm³
ΔE_f ... 346 meV per atom
Final energy ... -7.937 eV per atom
Magnetic moment ... 0.98 μB per cell

a = 4.660 Å, b = 4.660 Å, c = 4.660 Å
α = 60.00°, β = 60.00°, γ = 60.00°
Sites, in units of the cell vectors:
Cr: 0.376 0.376 0.376
Cr: 0.376 0.376 0.871
Cr: 0.376 0.871 0.376
Cr: 0.871 0.376 0.376
Co: 0.000 0.000 0.000
Cu: 0.750 0.750 0.750

***

Entry 3:
DFT (PBE-GGA) results for Cr2CoCu after structural relaxation.

Output
Density ... 7.973 g/cm³
ΔE_f ... 253 meV per atom
Excess energy over the best structure of this formula in the dataset ... 97 meV per atom
Final energy ... -7.360 eV per atom
Magnetic moment ... 1.82 μB per cell

a = 4.056 Å, b = 4.056 Å, c = 4.056 Å
α = 60.00°, β = 60.00°, γ = 60.00°
Sites, in units of the cell vectors:
Cr: 0.000 0.000 0.000
Cr: 0.250 0.250 0.250
Co: 0.750 0.750 0.750
Cu: 0.500 0.500 0.500

***

Entry 4:
DFT (PBE-GGA) results for CrCo2Cu after structural relaxation.

Output
Density ... 8.810 g/cm³
ΔE_f ... 144 meV per atom
Final energy ... -6.839 eV per atom
Magnetic moment ... 0.00 μB per cell

a = 2.530 Å, b = 3.378 Å, c = 5.148 Å
α = 90.00°, β = 90.00°, γ = 90.00°
Sites, in units of the cell vectors:
Cr: 0.000 0.000 0.000
Co: 0.500 0.500 0.243
Co: 0.500 0.500 0.757
Cu: 0.000 0.000 0.500

***

Entry 5:
DFT (PBE-GGA) results for CrCo2Cu after structural relaxation.

Output
Density ... 8.612 g/cm³
ΔE_f ... 162 meV per atom
Final energy ... -6.820 eV per atom
Magnetic moment ... 2.01 μB per cell

a = 8.476 Å, b = 8.476 Å, c = 8.476 Å
α = 16.92°, β = 16.92°, γ = 16.92°
Sites, in units of the cell vectors:
Cr: 0.000 0.000 0.000
Co: 0.254 0.254 0.254
Co: 0.507 0.507 0.507
Cu: 0.755 0.755 0.755

***

Entry 6:
DFT (PBE-GGA) results for CrCo2Cu after structural relaxation.

Output
Density ... 8.674 g/cm³
ΔE_f ... 193 meV per atom
Final energy ... -6.789 eV per atom
Magnetic moment ... 2.32 μB per cell

a = 2.471 Å, b = 3.637 Å, c = 4.972 Å
α = 90.00°, β = 90.00°, γ = 90.00°
Sites, in units of the cell vectors:
Cr: 0.000 0.000 0.000
Co: 0.000 0.000 0.522
Co: 0.500 0.500 0.771
Cu: 0.500 0.500 0.273

***

Entry 7:
DFT (PBE-GGA) results for CrCo2Cu after structural relaxation.

Output
Density ... 8.232 g/cm³
ΔE_f ... 317 meV per atom
Final energy ... -6.666 eV per atom
Magnetic moment ... 0.25 μB per cell

a = 4.053 Å, b = 4.053 Å, c = 4.053 Å
α = 60.00°, β = 60.00°, γ = 60.00°
Sites, in units of the cell vectors:
Cr: 0.000 0.000 0.000
Co: 0.250 0.250 0.250
Co: 0.500 0.500 0.500
Cu: 0.750 0.750 0.750

***

Entry 8:
DFT (PBE-GGA) results for Cr2CoCu after structural relaxation.

Output
Density ... 8.144 g/cm³
ΔE_f ... 156 meV per atom
Excess energy over the best structure of this formula in the dataset ... 0 meV per atom
Final energy ... -7.457 eV per atom
Magnetic moment ... 1.66 μB per cell

a = 2.433 Å, b = 2.433 Å, c = 8.179 Å
α = 90.00°, β = 90.00°, γ = 107.41°
Sites, in units of the cell vectors:
Cr: 0.000 0.000 0.000
Cr: 0.500 0.500 0.244
Co: 0.500 0.500 0.757
Cu: 0.000 0.000 0.503

***

Entry 9:
DFT (PBE-GGA) results for Cr2CoCu after structural relaxation.

Output
Density ... 8.339 g/cm³
ΔE_f ... 210 meV per atom
Excess energy over the best structure of this formula in the dataset ... 55 meV per atom
Final energy ... -7.402 eV per atom
Magnetic moment ... 0.00 μB per cell

a = 4.480 Å, b = 4.480 Å, c = 2.455 Å
α = 90.00°, β = 90.00°, γ = 113.78°
Sites, in units of the cell vectors:
Cr: 0.000 0.500 0.000
Cr: 0.500 0.000 0.000
Co: 0.000 0.000 0.500
Cu: 0.500 0.500 0.500

***

Entry 10:
DFT (PBE-GGA) results for CrCo2Cu after structural relaxation.

Output
Density ... 7.971 g/cm³
ΔE_f ... 571 meV per atom
Final energy ... -6.412 eV per atom
Magnetic moment ... 0.00 μB per cell

a = 5.072 Å, b = 5.072 Å, c = 5.072 Å
α = 103.96°, β = 103.96°, γ = 121.16°
Sites, in units of the cell vectors:
Cr: 0.000 0.000 0.000
Cr: 0.750 0.250 0.500
Co: 0.090 0.125 0.465
Co: 0.375 0.910 0.035
Co: 0.660 0.625 0.535
Co: 0.875 0.340 0.965
Cu: 0.250 0.750 0.500
Cu: 0.500 0.500 0.000

***

Entry 11:
DFT (PBE-GGA) results for CrCo2Cu after structural relaxation.

Output
Density ... 8.698 g/cm³
ΔE_f ... 125 meV per atom
Final energy ... -6.858 eV per atom
Magnetic moment ... 1.56 μB per cell

a = 8.365 Å, b = 8.365 Å, c = 8.365 Å
α = 17.18°, β = 17.18°, γ = 17.18°
Sites, in units of the cell vectors:
Cr: 0.000 0.000 0.000
Co: 0.253 0.253 0.253
Co: 0.747 0.747 0.747
Cu: 0.500 0.500 0.500

***

Entry 12:
DFT (PBE-GGA) results for Cr2CoCu after structural relaxation.

Output
Density ... 8.279 g/cm³
ΔE_f ... 237 meV per atom
Excess energy over the best structure of this formula in the dataset ... 81 meV per atom
Final energy ... -7.375 eV per atom
Magnetic moment ... 0.00 μB per cell

a = 4.310 Å, b = 4.310 Å, c = 4.507 Å
α = 97.54°, β = 97.54°, γ = 33.22°
Sites, in units of the cell vectors:
Cr: 0.000 0.000 0.000
Cr: 0.242 0.242 0.731
Co: 0.740 0.740 0.231
Cu: 0.490 0.490 0.487

***

Entry 13:
DFT (PBE-GGA) results for Cr2CoCu after structural relaxation.

Output
Density ... 7.860 g/cm³
ΔE_f ... 381 meV per atom
Excess energy over the best structure of this formula in the dataset ... 226 meV per atom
Final energy ... -7.231 eV per atom
Magnetic moment ... 4.70 μB per cell

a = 4.088 Å, b = 4.088 Å, c = 2.863 Å
α = 90.00°, β = 90.00°, γ = 90.00°
Sites, in units of the cell vectors:
Cr: 0.000 0.500 0.000
Cr: 0.500 0.000 0.000
Co: 0.000 0.000 0.500
Cu: 0.500 0.500 0.500

***

Entry 14:
DFT (PBE-GGA) results for Cr2CoCu after structural relaxation.

Output
Density ... 8.185 g/cm³
ΔE_f ... 235 meV per atom
Excess energy over the best structure of this formula in the dataset ... 79 meV per atom
Final energy ... -7.377 eV per atom
Magnetic moment ... 0.19 μB per cell

a = 8.566 Å, b = 8.566 Å, c = 8.566 Å
α = 16.83°, β = 16.83°, γ = 16.83°
Sites, in units of the cell vectors:
Cr: 0.000 0.000 0.000
Cr: 0.247 0.247 0.247
Co: 0.743 0.743 0.743
Cu: 0.494 0.494 0.494

***

Entry 15:
DFT (PBE-GGA) results for CrCo2Cu after structural relaxation.

Output
Density ... 8.689 g/cm³
ΔE_f ... 193 meV per atom
Final energy ... -6.790 eV per atom
Magnetic moment ... 1.95 μB per cell

a = 4.282 Å, b = 4.282 Å, c = 4.449 Å
α = 98.93°, β = 98.93°, γ = 33.66°
Sites, in units of the cell vectors:
Cr: 0.000 0.000 0.000
Co: 0.253 0.253 0.757
Co: 0.747 0.747 0.243
Cu: 0.500 0.500 0.500

***

Entry 16:
DFT (PBE-GGA) results for CrCo2Cu after structural relaxation.

Output
Density ... 8.669 g/cm³
ΔE_f ... 196 meV per atom
Final energy ... -6.787 eV per atom
Magnetic moment ... 1.49 μB per cell

a = 4.390 Å, b = 4.390 Å, c = 4.328 Å
α = 99.53°, β = 99.53°, γ = 32.97°
Sites, in units of the cell vectors:
Cr: 0.000 0.000 0.000
Co: 0.489 0.489 0.484
Co: 0.750 0.750 0.226
Cu: 0.243 0.243 0.725

***

Entry 17:
DFT (PBE-GGA) results for Cr2CoCu after structural relaxation.

Output
Density ... 7.801 g/cm³
ΔE_f ... 373 meV per atom
Excess energy over the best structure of this formula in the dataset ... 217 meV per atom
Final energy ... -7.239 eV per atom
Magnetic moment ... 5.25 μB per cell

a = 4.085 Å, b = 4.085 Å, c = 4.085 Å
α = 60.00°, β = 60.00°, γ = 60.00°
Sites, in units of the cell vectors:
Cr: 0.250 0.250 0.250
Cr: 0.750 0.750 0.750
Co: 0.000 0.000 0.000
Cu: 0.500 0.500 0.500

***

Entry 18:
DFT (PBE-GGA) results for Cr2CoCu after structural relaxation.

Output
Density ... 8.213 g/cm³
ΔE_f ... 275 meV per atom
Excess energy over the best structure of this formula in the dataset ... 119 meV per atom
Final energy ... -7.338 eV per atom
Magnetic moment ... 0.15 μB per cell

a = 4.540 Å, b = 4.540 Å, c = 4.083 Å
α = 104.20°, β = 104.20°, γ = 34.26°
Sites, in units of the cell vectors:
Cr: 0.244 0.244 0.228
Cr: 0.756 0.756 0.772
Co: 0.500 0.500 0.000
Cu: 0.000 0.000 0.500

***

Entry 19:
DFT (PBE-GGA) results for Cr2CoCu after structural relaxation.

Output
Density ... 7.961 g/cm³
ΔE_f ... 236 meV per atom
Excess energy over the best structure of this formula in the dataset ... 80 meV per atom
Final energy ... -7.376 eV per atom
Magnetic moment ... 1.87 μB per cell

a = 4.354 Å, b = 4.354 Å, c = 4.354 Å
α = 130.03°, β = 130.03°, γ = 73.36°
Sites, in units of the cell vectors:
Cr: 0.000 0.000 0.000
Cr: 0.750 0.250 0.500
Co: 0.250 0.750 0.500
Cu: 0.500 0.500 0.000

***

Entry 20:
DFT (PBE-GGA) results for CrCo2Cu after structural relaxation.

Output
Density ... 8.850 g/cm³
ΔE_f ... 156 meV per atom
Final energy ... -6.827 eV per atom
Magnetic moment ... 0.00 μB per cell

a = 4.230 Å, b = 4.230 Å, c = 4.230 Å
α = 129.63°, β = 129.63°, γ = 73.99°
Sites, in units of the cell vectors:
Cr: 0.000 0.000 0.000
Co: 0.250 0.750 0.500
Co: 0.750 0.250 0.500
Cu: 0.500 0.500 0.000

***

Entry 21:
DFT (PBE-GGA) results for Cr2CoCu after structural relaxation.

Output
Density ... 7.592 g/cm³
ΔE_f ... 660 meV per atom
Excess energy over the best structure of this formula in the dataset ... 504 meV per atom
Final energy ... -6.952 eV per atom
Magnetic moment ... 0.00 μB per cell

a = 5.150 Å, b = 5.150 Å, c = 5.150 Å
α = 102.21°, β = 102.21°, γ = 125.23°
Sites, in units of the cell vectors:
Cr: 0.090 0.125 0.465
Cr: 0.375 0.910 0.035
Cr: 0.660 0.625 0.535
Cr: 0.875 0.340 0.965
Co: 0.000 0.000 0.000
Co: 0.750 0.250 0.500
Cu: 0.250 0.750 0.500
Cu: 0.500 0.500 0.000

***

Entry 22:
DFT (PBE-GGA) results for CrCo2Cu after structural relaxation.

Output
Density ... 8.496 g/cm³
ΔE_f ... 170 meV per atom
Final energy ... -6.813 eV per atom
Magnetic moment ... 3.28 μB per cell

a = 2.433 Å, b = 2.433 Å, c = 8.112 Å
α = 90.00°, β = 90.00°, γ = 108.15°
Sites, in units of the cell vectors:
Cr: 0.000 0.000 0.000
Co: 0.500 0.500 0.244
Co: 0.500 0.500 0.756
Cu: 0.000 0.000 0.500

***

Entry 23:
DFT (PBE-GGA) results for Cr2CoCu after structural relaxation.

Output
Density ... 8.330 g/cm³
ΔE_f ... 185 meV per atom
Excess energy over the best structure of this formula in the dataset ... 29 meV per atom
Final energy ... -7.428 eV per atom
Magnetic moment ... 0.00 μB per cell

a = 2.453 Å, b = 3.755 Å, c = 4.901 Å
α = 90.00°, β = 90.30°, γ = 90.00°
Sites, in units of the cell vectors:
Cr: 0.000 0.000 0.238
Cr: 0.000 0.000 0.762
Co: 0.500 0.500 0.000
Cu: 0.500 0.500 0.500